A plane-wave DFT calculation with PBE+U was carried out for a geometry-optimized HfCr2CdO6 structure.

Properties
The total energy comes out at -7.764 eV/atom. As for the density of states at the Fermi level: 0.00 states/eV/f.u. The value obtained for the spin magnetization is 6.0 μB per formula unit.

Lattice parameters (Å, degrees): 5.336 5.336 5.614 61.62 61.62 60.00
Each line ends with the local moment (μB).
Fractional coordinates of all 10 atoms:
Cr1 0.517 0.517 0.448  2.99
Cr2 0.013 0.013 0.960  2.97
Hf1 0.309 0.309 0.074  0.02
O1 0.901 0.625 0.224  -0.03
O2 0.725 0.163 0.747  -0.03
O3 0.365 0.725 0.747  -0.03
O4 0.625 0.250 0.224  -0.03
O5 0.163 0.365 0.747  -0.03
O6 0.250 0.901 0.224  -0.03
Cd1 0.793 0.793 0.622  0.01